Record 1
# HgTeIr2

An optimized crystal structure of HgTeIr2 (PBE, the Alexandria database).

Properties
Its formation energy (no corrections) is 0.683 eV per atom. The value obtained for the volume is 18.38 Å³/atom. The energy is -4.608 eV/atom. The density of states at the Fermi level comes out at 3.9 states/eV/f.u. Its distance to the lowest polymorph of the same formula is 275 meV/atom.

a b c (Å): 3.9527 3.9527 9.4104
angles (deg): 90.00 90.00 90.00
Space group I-4m2 (No. 119)
Symmetry-distinct sites (fractional):
Hg (0.0000, 0.0000, 0.0000) [2 per cell]
Te (0.0000, 0.5000, 0.2500) [2 per cell]
Ir (0.0000, 0.0000, 0.5000) [2 per cell]
Ir (0.0000, 0.5000, 0.7500) [2 per cell]

Record 2
# Nd5SmHoTm2

An optimized crystal structure of Nd5SmHoTm2 (PBE, the Alexandria database).

Properties
The value obtained for the volume is 34.36 Å³/atom. The energy is -4.529 eV/atom. The density of states at the Fermi level comes out at 14.4 states/eV/f.u. The value obtained for the calculated formation energy is 146.9 meV per atom.

a b c (Å): 5.6440 20.4022 10.7409
angles (deg): 90.00 90.00 90.00
Space group Cmc2_1 (No. 36)
Symmetry-distinct sites (fractional):
Nd (0.0000, 0.0158, 0.0000) [4 per cell]
Nd (0.0000, 0.2808, 0.2901) [4 per cell]
Nd (0.0000, 0.2968, 0.6845) [4 per cell]
Nd (0.0000, 0.3884, 0.0035) [4 per cell]
Nd (0.0000, 0.4812, 0.7229) [4 per cell]
Sm (0.0000, 0.1998, 0.9901) [4 per cell]
Ho (0.0000, 0.4097, 0.4395) [4 per cell]
Tm (0.0000, 0.1107, 0.7200) [4 per cell]
Tm (0.0000, 0.1153, 0.2923) [4 per cell]

Record 3
# ErNbZn4

An optimized crystal structure of ErNbZn4 (PBE, the Alexandria database).

Properties
The value obtained for the volume is 17.05 Å³/atom. The energy is -3.454 eV/atom. The density of states at the Fermi level comes out at 2.6 states/eV/f.u. The value obtained for the calculated formation energy is -166.2 meV per atom.

a b c (Å): 7.4235 7.4235 7.4235
angles (deg): 90.00 90.00 90.00
Space group F-43m (No. 216)
Symmetry-distinct sites (fractional):
Er (0.0000, 0.0000, 0.0000) [4 per cell]
Nb (0.2500, 0.2500, 0.2500) [4 per cell]
Zn (0.1239, 0.1239, 0.6239) [16 per cell]

Record 4
# Na2Pt

An optimized crystal structure of Na2Pt (PBE, the Alexandria database).

Properties
The value obtained for the volume is 19.71 Å³/atom. The energy is -3.027 eV/atom. The density of states at the Fermi level comes out at 0.6 states/eV/f.u. The value obtained for the calculated formation energy is -133.6 meV per atom.

a b c (Å): 2.8334 4.6778 8.9234
angles (deg): 90.00 90.00 90.00
Space group Immm (No. 71)
Symmetry-distinct sites (fractional):
Na (0.0000, 0.0000, 0.1595) [4 per cell]
Pt (0.0000, 0.0000, 0.5000) [2 per cell]

Record 5
# Sr2InPb2

An optimized crystal structure of Sr2InPb2 (PBE, the Alexandria database).

Properties
The value obtained for the volume is 36.72 Å³/atom. The energy is -2.943 eV/atom. The density of states at the Fermi level comes out at 2.7 states/eV/f.u. The value obtained for the calculated formation energy is -239.7 meV per atom. Its distance to the lowest polymorph of the same formula is 220 meV/atom.

a b c (Å): 9.2353 9.2353 4.3050
angles (deg): 90.00 90.00 90.00
Space group P4/mbm (No. 127)
Symmetry-distinct sites (fractional):
Sr (0.1732, 0.3268, 0.0000) [4 per cell]
In (0.0000, 0.0000, 0.0000) [2 per cell]
Pb (0.1241, 0.6241, 0.5000) [4 per cell]

Record 6
# HfMgHgSe2

An optimized crystal structure of HfMgHgSe2 (PBE, the Alexandria database).

Properties
Its formation energy (no corrections) is 0.792 eV per atom. The value obtained for the volume is 29.91 Å³/atom. The energy is -2.972 eV/atom. The density of states at the Fermi level comes out at 4.4 states/eV/f.u.

a b c (Å): 5.2778 5.2778 5.3690
angles (deg): 90.00 90.00 90.00
Space group P4/mmm (No. 123)
Symmetry-distinct sites (fractional):
Hf (0.0000, 0.0000, 0.0000) [1 per cell]
Mg (0.5000, 0.5000, 0.0000) [1 per cell]
Hg (0.0000, 0.0000, 0.5000) [1 per cell]
Se (0.0000, 0.5000, 0.5000) [2 per cell]

Number 1: calculated density 16.1 g cm⁻³. Number 2: calculated density 7.4 g cm⁻³. Number 3: calculated density 8.5 g cm⁻³. Number 4: calculated density 6.8 g cm⁻³. Number 5: calculated density 6.4 g cm⁻³. Number 6: calculated density 6.2 g cm⁻³.